1.
The following is a meta-GGA SCAN calculation of TaSeIO2 at its PBEsol-relaxed geometry, from the Alexandria database.

## Properties
total moment	2.8	μB per cell
raw formation energy	757	meV per atom
N(E_F)	1.5	states/eV/f.u.

The structure in POSCAR format:
```
TaSeIO2
1.0
3.9460 0.0000 0.0000
0.0000 3.9460 0.0000
0.0000 0.0000 5.6578
I O Se Ta
1 2 1 1
Direct
0.0000 0.0000 0.5000
0.0000 0.5000 0.0000
0.5000 0.0000 0.0000
0.0000 0.0000 0.0000
0.5000 0.5000 0.5000
```

***

2.
The following is a meta-GGA SCAN calculation of WSeI2O at its PBEsol-relaxed geometry, from the Alexandria database.

## Properties
total moment	3.8	μB per cell
raw formation energy	1205	meV per atom
N(E_F)	3.3	states/eV/f.u.

The structure in POSCAR format:
```
WSeI2O
1.0
-1.0590 2.5673 -2.4186
-2.9709 -3.8864 -2.8245
-4.5214 1.1389 3.1887
I O Se W
2 1 1 1
Direct
0.0000 0.0000 0.5000
0.0000 0.5000 0.0000
0.5000 0.0000 0.0000
0.0000 0.0000 0.0000
0.5000 0.5000 0.5000
```

***

3.
The following is a meta-GGA SCAN calculation of ZnSeI2O at its PBEsol-relaxed geometry, from the Alexandria database.

## Properties
total moment	0.0	μB per cell
raw formation energy	174	meV per atom
N(E_F)	3.3	states/eV/f.u.

The structure in POSCAR format:
```
ZnSeI2O
1.0
3.7866 0.0000 0.0000
0.0000 5.7233 0.0000
0.0000 0.0000 5.7233
I Zn O Se
2 1 1 1
Direct
0.0000 0.0000 0.5000
0.0000 0.5000 0.0000
0.5000 0.5000 0.5000
0.5000 0.0000 0.0000
0.0000 0.0000 0.0000
```

***

4.
The following is a meta-GGA SCAN calculation of SiI2O2 at its PBEsol-relaxed geometry, from the Alexandria database.

## Properties
total moment	2.1	μB per cell
raw formation energy	-6	meV per atom
N(E_F)	1.7	states/eV/f.u.

The structure in POSCAR format:
```
SiI2O2
1.0
-1.6766 -1.7318 2.3228
1.0700 -4.5923 -2.6516
4.5583 -0.5856 2.8537
I Si O
2 1 2
Direct
0.0000 0.0000 0.5000
0.0000 0.5000 0.0000
0.0000 0.0000 0.0000
0.5000 0.5000 0.5000
0.5000 0.0000 0.0000
```

***

5.
The following is a meta-GGA SCAN calculation of SiSnI2O at its PBEsol-relaxed geometry, from the Alexandria database.

## Properties
total moment	0.0	μB per cell
raw formation energy	224	meV per atom
N(E_F)	2.6	states/eV/f.u.

The structure in POSCAR format:
```
SiSnI2O
1.0
-3.7157 -1.2552 0.5456
0.9870 -0.3944 5.8149
-1.7890 5.5925 0.6830
I Si Sn O
2 1 1 1
Direct
0.0000 0.0000 0.5000
0.0000 0.5000 0.0000
0.5000 0.5000 0.5000
0.0000 0.0000 0.0000
0.5000 0.0000 0.0000
```

***

6.
The following is a meta-GGA SCAN calculation of SiTcI2O at its PBEsol-relaxed geometry, from the Alexandria database.

## Properties
total moment	0.0	μB per cell
raw formation energy	177	meV per atom
N(E_F)	4.0	states/eV/f.u.

The structure in POSCAR format:
```
SiTcI2O
1.0
3.6929 0.0000 0.0000
0.0000 5.4395 0.0000
0.0000 0.0000 5.4395
I Si Tc O
2 1 1 1
Direct
0.0000 0.0000 0.5000
0.0000 0.5000 0.0000
0.5000 0.5000 0.5000
0.0000 0.0000 0.0000
0.5000 0.0000 0.0000
```

***

7.
The following is a meta-GGA SCAN calculation of SiTeIO2 at its PBEsol-relaxed geometry, from the Alexandria database.

## Properties
total moment	1.0	μB per cell
raw formation energy	143	meV per atom
N(E_F)	1.6	states/eV/f.u.

The structure in POSCAR format:
```
SiTeIO2
1.0
4.0560 0.0000 0.0000
0.0000 4.0560 0.0000
0.0000 0.0000 6.6136
I Si Te O
1 1 1 2
Direct
0.0000 0.0000 0.5000
0.5000 0.5000 0.5000
0.0000 0.0000 0.0000
0.0000 0.5000 0.0000
0.5000 0.0000 0.0000
```

***

8.
The following is a meta-GGA SCAN calculation of TlSiI2O at its PBEsol-relaxed geometry, from the Alexandria database.

## Properties
total moment	0.6	μB per cell
raw formation energy	462	meV per atom
N(E_F)	2.1	states/eV/f.u.

The structure in POSCAR format:
```
TlSiI2O
1.0
-1.4444 -0.3033 3.7382
-0.8044 -5.8781 -0.7877
5.5269 -1.0313 2.0519
I Tl Si O
2 1 1 1
Direct
0.0000 0.0000 0.5000
0.0000 0.5000 0.0000
0.0000 0.0000 0.0000
0.5000 0.5000 0.5000
0.5000 0.0000 0.0000
```

***

9.
The following is a meta-GGA SCAN calculation of SmI3O9 at its PBEsol-relaxed geometry, from the Alexandria database.

## Properties
total moment	0.0	μB per cell
raw formation energy	-1107	meV per atom
N(E_F)	0.0	states/eV/f.u.

The structure in POSCAR format:
```
SmI3O9
1.0
-7.0862 0.5272 -1.0617
-1.2570 -0.4052 8.1883
3.4149 12.8348 1.1594
Sm I O
4 12 36
Direct
0.1789 0.7434 0.1459
0.1789 0.7566 0.6459
0.8211 0.2434 0.3541
0.8211 0.2566 0.8541
0.1789 0.2823 0.6149
0.3331 0.0378 0.8645
0.8211 0.7177 0.3851
0.1789 0.2177 0.1149
0.7292 0.0084 0.6102
0.2708 0.5084 0.8898
0.2708 0.9916 0.3898
0.3331 0.4622 0.3645
0.6669 0.9622 0.1355
0.8211 0.7823 0.8851
0.7292 0.4916 0.1102
0.6669 0.5378 0.6355
0.5264 0.1801 0.8764
0.7421 0.2086 0.6703
0.1440 0.3112 0.3272
0.8279 0.5325 0.3110
0.8279 0.9675 0.8110
0.3499 0.5262 0.2352
0.2579 0.7914 0.3297
0.6822 0.4472 0.9733
0.1440 0.1888 0.8272
0.2579 0.7086 0.8297
0.8560 0.8112 0.1728
0.9852 0.9844 0.6214
0.4736 0.6801 0.6236
0.5264 0.3199 0.3764
0.1721 0.4675 0.6890
0.7421 0.2914 0.1703
0.0148 0.0156 0.3786
0.3633 0.1588 0.0450
0.3499 0.9738 0.7352
0.0148 0.4844 0.8786
0.9693 0.3236 0.5179
0.6501 0.0262 0.2648
0.6501 0.4738 0.7648
0.3178 0.5528 0.0267
0.0307 0.8236 0.9821
0.6367 0.8412 0.9550
0.9852 0.5156 0.1214
0.3178 0.9472 0.5267
0.8560 0.6888 0.6728
0.3633 0.3412 0.5450
0.6367 0.6588 0.4550
0.6822 0.0528 0.4733
0.0307 0.6764 0.4821
0.4736 0.8199 0.1236
0.9693 0.1764 0.0179
0.1721 0.0325 0.1890
```

***

10.
The following is a meta-GGA SCAN calculation of SmV2IO9 at its PBEsol-relaxed geometry, from the Alexandria database.

## Properties
total moment	0.0	μB per cell
raw formation energy	-2276	meV per atom
N(E_F)	0.0	states/eV/f.u.

The structure in POSCAR format:
```
SmV2IO9
1.0
-4.4516 2.3660 -4.7404
1.6062 -5.5071 -4.2571
-10.4741 -7.6909 5.9974
Sm V I O
4 8 4 36
Direct
0.1451 0.7500 0.9548
0.8549 0.2500 0.0452
0.1451 0.2500 0.5452
0.8549 0.7500 0.4548
0.5421 0.0000 0.2500
0.4579 0.5000 0.7500
0.4579 0.0000 0.7500
0.5421 0.5000 0.2500
0.1794 0.7500 0.2287
0.8206 0.2500 0.7713
0.1794 0.2500 0.2713
0.8206 0.7500 0.7287
0.7022 0.7500 0.0561
0.2978 0.2500 0.9439
0.7022 0.2500 0.4439
0.2978 0.7500 0.5561
0.8281 0.9314 0.9872
0.1719 0.4314 0.0128
0.8281 0.0686 0.5128
0.1719 0.5686 0.4872
0.1719 0.0686 0.0128
0.8281 0.5686 0.9872
0.1719 0.9314 0.4872
0.8281 0.4314 0.5128
0.4685 0.7500 0.0006
0.5315 0.2500 0.9994
0.4685 0.2500 0.4994
0.5315 0.7500 0.5006
0.6784 0.0453 0.1569
0.3216 0.5453 0.8431
0.6784 0.9547 0.3431
0.3216 0.4547 0.6569
0.3216 0.9547 0.8431
0.6784 0.4547 0.1569
0.3216 0.0453 0.6569
0.6784 0.5453 0.3431
0.4736 0.2500 0.2806
0.5264 0.7500 0.7194
0.4736 0.7500 0.2194
0.5264 0.2500 0.7806
0.2622 0.0000 0.2500
0.7378 0.5000 0.7500
0.7378 0.0000 0.7500
0.2622 0.5000 0.2500
0.0094 0.7500 0.3083
0.9906 0.2500 0.6917
0.0094 0.2500 0.1917
0.9906 0.7500 0.8083
0.0749 0.7500 0.1243
0.9251 0.2500 0.8757
0.0749 0.2500 0.3757
0.9251 0.7500 0.6243
```

***

11.
The following is a meta-GGA SCAN calculation of SrSnIO2 at its PBEsol-relaxed geometry, from the Alexandria database.

## Properties
total moment	1.0	μB per cell
raw formation energy	-531	meV per atom
N(E_F)	2.5	states/eV/f.u.

The structure in POSCAR format:
```
SrSnIO2
1.0
4.5982 0.0000 0.0000
0.0000 4.5982 0.0000
0.0000 0.0000 6.1165
I Sr Sn O
1 1 1 2
Direct
0.0000 0.0000 0.5000
0.0000 0.0000 0.0000
0.5000 0.5000 0.5000
0.0000 0.5000 0.0000
0.5000 0.0000 0.0000
```

***

12.
The following is a meta-GGA SCAN calculation of SrSnI2O at its PBEsol-relaxed geometry, from the Alexandria database.

## Properties
total moment	0.1	μB per cell
raw formation energy	-711	meV per atom
N(E_F)	1.5	states/eV/f.u.

The structure in POSCAR format:
```
SrSnI2O
1.0
-2.8116 -1.6250 -2.7426
3.9890 -4.6329 -1.3444
-2.4753 -3.4631 4.5895
I Sr Sn O
2 1 1 1
Direct
0.0000 0.0000 0.5000
0.0000 0.5000 0.0000
0.0000 0.0000 0.0000
0.5000 0.5000 0.5000
0.5000 0.0000 0.0000
```